[1]
Density functional theory data (GGA-PBE) for crystalline Cs2PuCu2O6 at its relaxed geometry.

**Raw formation energy**: -1.627 eV per atom
**M_tot**: 0.056 Bohr magnetons per cell

Lattice parameters (Å, degrees): 6.0787 6.0787 19.0713 90.00 90.00 120.00
Space group R-3m (No. 166, hexagonal axes)
Inequivalent atoms, fractional coordinates:
Cs: 0.0000 0.0000 0.2138
Pu: 0.0000 0.0000 0.0000
Cu: 0.0000 0.0000 0.3969
O: 0.0204 0.5102 0.7313


[2]
Density functional theory data (GGA-PBE) for crystalline LiCr2As at its relaxed geometry.

**M_tot**: 0.790 Bohr magnetons per cell
**E_form**: 70 meV/atom

Lattice parameters (Å, degrees): 2.978 4.014 5.094 90.00 106.65 90.00
Space group Pm (No. 6)
Inequivalent atoms, fractional coordinates:
Li: 0.000 0.000 0.000
Cr: 0.311 0.500 0.627
Cr: 0.738 0.000 0.480
As: 0.579 0.500 0.160


[3]
Density functional theory data (GGA-PBE) for crystalline Al2SbIr at its relaxed geometry.

**Raw formation energy**: -0.175 eV per atom
**M_tot**: 0.000 Bohr magnetons per cell

Lattice parameters (Å, degrees): 3.1797 3.1797 25.1926 90.00 90.00 120.00
Space group R-3m (No. 166, hexagonal axes)
Inequivalent atoms, fractional coordinates:
Al: 0.0000 0.0000 0.2365
Sb: 0.0000 0.0000 0.0000
Ir: 0.0000 0.0000 0.5000